Record 1
{"formula": "CsHg2BiRh", "functional": "GGA-PBE", "state": "optimized geometry", "formation_energy_ev_per_atom": 0.44, "spacegroup": "P4/mmm, No. 123", "volume_a3_per_cell": 160.5, "mass_density_g_cm3": 8.754, "magnetic_moment_mub_per_fu": 0.00, "lattice_angstrom": [[5.4060, 0.0000, 0.0000], [0.0000, 5.4907, 0.0000], [0.0000, 0.0000, 5.4060]], "species": ["Hg", "Rh", "Hg", "Bi", "Cs"], "fractional_positions": [[0.0000, 0.0000, 0.5000], [0.0000, 0.0000, 0.0000], [0.5000, 0.0000, 0.0000], [0.5000, 0.5000, 0.5000], [0.0000, 0.5000, 0.0000]]}

Record 2
{"formula": "CsHg2BiRh", "functional": "GGA-PBE", "state": "optimized geometry", "formation_energy_ev_per_atom": -0.12, "spacegroup": "P4/mmm, No. 123", "volume_a3_per_cell": 159.1, "mass_density_g_cm3": 8.830, "magnetic_moment_mub_per_fu": 0.00, "lattice_angstrom": [[-2.1980, 5.0162, -0.2213], [-0.1483, -0.3063, -5.4705], [-4.8492, -2.1138, 0.2498]], "species": ["Rh", "Cs", "Bi", "Hg", "Hg"], "fractional_positions": [[0.0000, 0.0000, 0.0000], [0.5000, 0.5000, 0.5000], [0.0000, 0.0000, 0.5000], [0.5000, 0.0000, 0.0000], [0.0000, 0.5000, 0.0000]]}

Record 3
{"formula": "CsHg2BiS4", "functional": "GGA-PBE", "state": "optimized geometry", "spacegroup": "I222, No. 23", "volume_a3_per_cell": 274.9, "mass_density_g_cm3": 5.263, "magnetic_moment_mub_per_fu": 0.00, "raw_formation_energy_mev_per_atom": -414, "lattice_angstrom": [[6.9939, 0.0000, 0.0000], [3.4969, 6.2858, 0.0637], [3.4969, 0.5786, 6.2594]], "species": ["S", "S", "Bi", "Hg", "S", "Hg", "Cs", "S"], "fractional_positions": [[0.9097, 0.4981, 0.1504], [0.5583, 0.5019, 0.8496], [0.5000, 0.5000, 0.5000], [0.8204, 0.6796, 0.6796], [0.0903, 0.8496, 0.5019], [0.1796, 0.3204, 0.3204], [0.0000, 0.0000, 0.0000], [0.4417, 0.1504, 0.4981]]}